# 1
This record from Alexandria describes crystalline Nd2Sm6DyY at its relaxed geometry. The functional is GGA-PBE.

For the calculated total energy, the calculation gives -4.7778 eV/atom.

The structure in CIF format:
```
data_Nd2Sm6DyY
_chemical_formula_sum 'Nd8 Sm24 Dy4 Y4'
_symmetry_space_group_name_H-M 'C 1 2/c 1'
_symmetry_Int_Tables_number 15
_cell_length_a 9.151
_cell_length_b 15.369
_cell_length_c 9.802
_cell_angle_alpha 90.00
_cell_angle_beta 98.41
_cell_angle_gamma 90.00
loop_
_symmetry_equiv_pos_as_xyz
'x,y,z'
'-x,-y,-z'
'-x,y,-z+1/2'
'x,-y,z+1/2'
'x+1/2,y+1/2,z'
'-x+1/2,-y+1/2,-z'
'-x+1/2,y+1/2,-z+1/2'
'x+1/2,-y+1/2,z+1/2'
loop_
_atom_site_label
_atom_site_fract_x
_atom_site_fract_y
_atom_site_fract_z
Nd1 0.247 0.053 0.042
Sm1 0.062 0.188 0.444
Sm2 0.105 0.396 0.620
Sm3 0.203 0.223 0.811
Dy1 0.000 0.408 0.250
Y1 0.000 0.020 0.750
```

=====

# 2
This record from Alexandria describes crystalline YSbI2Br at its relaxed geometry. The functional is GGA-PBE.

The value obtained for the formation energy (no corrections) is -412 meV per atom. For the calculated total energy, the calculation gives -3.4836 eV/atom. As for the energy above the most stable polymorph in this dataset: 0 meV/atom.

The structure in CIF format:
```
data_YSbI2Br
_chemical_formula_sum 'Y1 Sb1 I2 Br1'
_symmetry_space_group_name_H-M 'P 4/m m m'
_symmetry_Int_Tables_number 123
_symmetry_space_group_name_Hall '-P 4 2'
_cell_length_a 5.815
_cell_length_b 5.815
_cell_length_c 6.392
_cell_angle_alpha 90.00
_cell_angle_beta 90.00
_cell_angle_gamma 90.00
loop_
_atom_site_label
_atom_site_fract_x
_atom_site_fract_y
_atom_site_fract_z
Y1 0.000 0.000 0.000
Sb1 0.000 0.000 0.500
I1 0.000 0.500 0.000
Br1 0.500 0.500 0.500
```

=====

# 3
This record from Alexandria describes crystalline InSb2HI at its relaxed geometry. The functional is GGA-PBE.

For the calculated total energy, the calculation gives -2.2325 eV/atom. As for the energy above the most stable polymorph in this dataset: 615 meV/atom.

The structure in CIF format:
```
data_InSb2HI
_chemical_formula_sum 'In1 Sb2 H1 I1'
_symmetry_space_group_name_H-M 'P 4/m m m'
_symmetry_Int_Tables_number 123
_symmetry_space_group_name_Hall '-P 4 2'
_cell_length_a 5.744
_cell_length_b 5.744
_cell_length_c 6.218
_cell_angle_alpha 90.00
_cell_angle_beta 90.00
_cell_angle_gamma 90.00
loop_
_atom_site_label
_atom_site_fract_x
_atom_site_fract_y
_atom_site_fract_z
In1 0.000 0.000 0.000
Sb1 0.000 0.500 0.000
H1 0.500 0.500 0.500
I1 0.000 0.000 0.500
```

=====

# 4
This record from Alexandria describes crystalline SrTlHg2Rh at its relaxed geometry. The functional is GGA-PBE.

For the calculated total energy, the calculation gives -2.5795 eV/atom. As for the energy above the most stable polymorph in this dataset: 0 meV/atom.

The structure in CIF format:
```
data_SrTlHg2Rh
_chemical_formula_sum 'Sr1 Tl1 Hg2 Rh1'
_symmetry_space_group_name_H-M 'P 4/m m m'
_symmetry_Int_Tables_number 123
_symmetry_space_group_name_Hall '-P 4 2'
_cell_length_a 5.297
_cell_length_b 5.297
_cell_length_c 5.191
_cell_angle_alpha 90.00
_cell_angle_beta 90.00
_cell_angle_gamma 90.00
loop_
_atom_site_label
_atom_site_fract_x
_atom_site_fract_y
_atom_site_fract_z
Sr1 0.000 0.000 0.000
Tl1 0.500 0.500 0.000
Hg1 0.000 0.500 0.500
Rh1 0.500 0.500 0.500
```

=====

# 5
This record from Alexandria describes crystalline MgScTaSe2 at its relaxed geometry. The functional is GGA-PBE.

The value obtained for the formation energy (no corrections) is 710 meV per atom. For the calculated total energy, the calculation gives -4.6392 eV/atom.

The structure in CIF format:
```
data_MgScTaSe2
_chemical_formula_sum 'Mg1 Sc1 Ta1 Se2'
_symmetry_space_group_name_H-M 'P 4/m m m'
_symmetry_Int_Tables_number 123
_symmetry_space_group_name_Hall '-P 4 2'
_cell_length_a 4.875
_cell_length_b 4.875
_cell_length_c 5.066
_cell_angle_alpha 90.00
_cell_angle_beta 90.00
_cell_angle_gamma 90.00
loop_
_atom_site_label
_atom_site_fract_x
_atom_site_fract_y
_atom_site_fract_z
Mg1 0.000 0.000 0.000
Sc1 0.500 0.500 0.500
Ta1 0.000 0.000 0.500
Se1 0.000 0.500 0.000
```

=====

# 6
This record from Alexandria describes crystalline Li3Sm2HoS6 at its relaxed geometry. The functional is GGA-PBE.

The value obtained for the formation energy (no corrections) is -1821 meV per atom. For the calculated total energy, the calculation gives -5.5308 eV/atom.

The structure in CIF format:
```
data_Li3Sm2HoS6
_chemical_formula_sum 'Li6 Sm4 Ho2 S12'
_symmetry_space_group_name_H-M 'C 1 2/m 1'
_symmetry_Int_Tables_number 12
_cell_length_a 6.874
_cell_length_b 11.916
_cell_length_c 6.598
_cell_angle_alpha 90.00
_cell_angle_beta 110.21
_cell_angle_gamma 90.00
loop_
_symmetry_equiv_pos_as_xyz
'x,y,z'
'-x,-y,-z'
'-x,y,-z'
'x,-y,z'
'x+1/2,y+1/2,z'
'-x+1/2,-y+1/2,-z'
'-x+1/2,y+1/2,-z'
'x+1/2,-y+1/2,z'
loop_
_atom_site_label
_atom_site_fract_x
_atom_site_fract_y
_atom_site_fract_z
Li1 0.000 0.000 0.000
Li2 0.000 0.338 0.000
Sm1 0.000 0.167 0.500
Ho1 0.000 0.500 0.500
S1 0.243 0.500 0.248
S2 0.247 0.337 0.753
```

=====

Q: Which value of calculated total energy does entry 1 give?
A: -4.7778 eV/atom